(1)
The following is a DFT calculation (PBE) of crystalline Rb2DyPu3O12 at its relaxed geometry.

a b c (Å): 7.9687 7.9687 18.6217
angles (deg): 90.00 90.00 120.00
Closest atoms and distances in Å follow each position.
Space group R-3m (No. 166, hexagonal axes)
Asymmetric unit:
Rb 0.0000 0.0000 0.1302  6 O 3.28-3.55
Dy 0.0000 0.0000 0.5000  6 O 2.26
Pu 0.0000 0.5000 0.0000  6 O 1.94-2.10
O 0.0561 0.5280 0.1020  1 Pu 1.94
O 0.0816 0.5408 0.3509  2 Pu 2.10

## Properties
energy relative to the elements, uncorrected	-2.552	eV/atom


(2)
The following is a DFT calculation (PBE) of crystalline NaLiZnSb2 at its relaxed geometry.

a b c (Å): 4.6605 4.6605 11.6254
angles (deg): 90.00 90.00 90.00
Closest atoms and distances in Å follow each position.
Space group I-4m2 (No. 119)
Asymmetric unit:
Na 0.0000 0.0000 0.0000  8 Sb 3.59, 4 Li 3.73, 4 Zn 3.73
Li 0.0000 0.5000 0.2500  4 Sb 2.76
Zn 0.0000 0.5000 0.7500  4 Sb 2.76
Sb 0.0000 0.0000 0.3766  2 Li 2.76, 2 Zn 2.76, 1 Sb 2.87

## Properties
energy relative to the elements, uncorrected	-0.297	eV/atom


(3)
The following is a DFT calculation (PBE) of crystalline NdAl4 at its relaxed geometry.

a b c (Å): 4.2859 4.2859 11.3104
angles (deg): 90.00 90.00 90.00
Closest atoms and distances in Å follow each position.
Space group I4/mmm (No. 139)
Asymmetric unit:
Nd 0.0000 0.0000 0.0000  16 Al 3.28-3.55
Al 0.0000 0.0000 0.3883  5 Al 2.53-2.65
Al 0.0000 0.5000 0.2500  4 Al 2.65

## Properties
ΔE_f	-0.299	eV/atom